Entry 1:
{"formula": "SiNF", "functional": "PBE", "state": "relaxed", "dft_energy_ev_per_atom": -7.064, "formation_energy_uncorrected_mev_per_atom": -1857, "spacegroup": "P3m1", "vol_a3_per_cell": 37, "lattice_angstrom": [[2.918, 0.000, 0.000], [-1.459, 2.527, 0.000], [0.000, 0.000, 5.032]], "species": ["Si", "N", "F"], "frac_coords": [[0.333, 0.667, 0.830], [0.667, 0.333, 0.920], [0.333, 0.667, 0.508]]}



Entry 2:
{"formula": "PmSmYAl", "functional": "PBE", "state": "relaxed", "dft_energy_ev_per_atom": -5.104, "spacegroup": "P4mm", "vol_a3_per_cell": 116, "relative_energy_mev_per_atom": 0.0, "lattice_angstrom": [[-1.115, 2.245, 2.519], [1.207, -2.212, 2.506], [8.172, 4.258, -0.176]], "species": ["Pm", "Sm", "Y", "Al"], "frac_coords": [[0.000, 0.000, 0.067], [0.500, 0.500, 0.360], [0.500, 0.500, 0.781], [0.000, 0.000, 0.576]]}



Entry 3:
{"formula": "Zr2AlPb", "functional": "PBE", "state": "relaxed", "dft_energy_ev_per_atom": -6.254, "spacegroup": "P4mm", "vol_a3_per_cell": 91, "lattice_angstrom": [[3.862, 0.000, 0.000], [0.000, 3.862, 0.000], [0.000, 0.000, 6.073]], "species": ["Pb", "Al", "Zr", "Zr"], "frac_coords": [[0.500, 0.500, 0.748], [0.000, 0.000, 0.483], [0.000, 0.000, 0.017], [0.500, 0.500, 0.251]]}



What did the third record say?
{"formula": "Zr2AlPb", "functional": "PBE", "state": "relaxed", "dft_energy_ev_per_atom": -6.254, "spacegroup": "P4mm", "vol_a3_per_cell": 91, "lattice_angstrom": [[3.862, 0.000, 0.000], [0.000, 3.862, 0.000], [0.000, 0.000, 6.073]], "species": ["Pb", "Al", "Zr", "Zr"], "frac_coords": [[0.500, 0.500, 0.748], [0.000, 0.000, 0.483], [0.000, 0.000, 0.017], [0.500, 0.500, 0.251]]}